Record 1
! HoTm3Ga PBE optimized geometry; values from VASP
! SG: C2/m, No. 12
! N(E_F): 7.712 states/eV/f.u.
! calculated total energy: -21.3 eV/f.u.
! formation energy: -30 kJ/mol of formula units
&SYSTEM
  ibrav = 0, nat = 10, ntyp = 3
/
ATOMIC_SPECIES
Tm 168.93 Tm.upf
Ho 164.93 Ho.upf
Ga 69.72 Ga.upf
ATOMIC_POSITIONS crystal
Tm 0.725 0.446 0.171
Tm 0.158 0.975 0.748
Tm 0.773 0.590 0.748
Tm 0.275 0.554 0.829
Tm 0.842 0.025 0.252
Tm 0.227 0.410 0.252
Ho 0.703 0.068 0.771
Ho 0.297 0.932 0.229
Ga 0.632 0.755 0.387
Ga 0.368 0.245 0.613
CELL_PARAMETERS angstrom
7.298 -0.011 -0.295
-2.007 7.017 0.295
-3.170 -3.107 5.867

=====

Record 2
! HoTmGa PBE optimized geometry; values from VASP
! SG: I4mm, No. 107
! N(E_F): 2.335 states/eV/f.u.
! calculated total energy: -13.2 eV/f.u.
! formation energy: -111 kJ/mol of formula units
&SYSTEM
  ibrav = 0, nat = 3, ntyp = 3
/
ATOMIC_SPECIES
Tm 168.93 Tm.upf
Ho 164.93 Ho.upf
Ga 69.72 Ga.upf
ATOMIC_POSITIONS crystal
Tm 0.263 0.263 0.525
Ho 0.970 0.970 0.939
Ga 0.618 0.618 0.235
CELL_PARAMETERS angstrom
3.431 0.000 0.000
0.000 3.431 0.000
-1.716 -1.716 6.469

=====

Record 3
! Ho2Tm2Ga3 PBE optimized geometry; values from VASP
! SG: P-1, No. 2
! N(E_F): 6.575 states/eV/f.u.
! calculated total energy: -30.1 eV/f.u.
! formation energy: -277 kJ/mol of formula units
&SYSTEM
  ibrav = 0, nat = 7, ntyp = 3
/
ATOMIC_SPECIES
Tm 168.93 Tm.upf
Ho 164.93 Ho.upf
Ga 69.72 Ga.upf
ATOMIC_POSITIONS crystal
Tm 0.362 0.724 0.173
Tm 0.638 0.276 0.827
Ho 0.119 0.240 0.450
Ho 0.881 0.760 0.550
Ga 0.662 0.325 0.200
Ga 0.338 0.675 0.800
Ga 0.000 0.000 0.000
CELL_PARAMETERS angstrom
3.726 -0.022 0.010
-1.824 5.715 -1.194
-0.031 -1.734 8.292

=====

Record 4
! Ho4Tm3Ga4 PBE optimized geometry; values from VASP
! SG: Immm, No. 71
! N(E_F): 8.943 states/eV/f.u.
! calculated total energy: -48.4 eV/f.u.
! formation energy: -438 kJ/mol of formula units
&SYSTEM
  ibrav = 0, nat = 11, ntyp = 3
/
ATOMIC_SPECIES
Ho 164.93 Ho.upf
Tm 168.93 Tm.upf
Ga 69.72 Ga.upf
ATOMIC_POSITIONS crystal
Ho 0.665 0.851 0.331
Ho 0.335 0.520 0.669
Ho 0.335 0.149 0.669
Ho 0.665 0.480 0.331
Tm 0.904 0.904 0.809
Tm 0.000 0.500 0.000
Tm 0.096 0.096 0.191
Ga 0.728 0.228 0.456
Ga 0.272 0.772 0.544
Ga 0.500 0.222 0.000
Ga 0.500 0.778 0.000
CELL_PARAMETERS angstrom
-0.266 -1.386 -3.219
-6.823 -5.112 2.764
-2.136 9.605 -2.040

=====

In the order shown, the computed magnetic moment values come out to 0.00, 0.00, 0.00, 0.00 μB per formula unit.